1.
# LiMg

An optimized crystal structure of LiMg (PBE, the Alexandria database).

a b c (Å): 3.119 3.119 8.693
angles (deg): 90.00 90.00 96.57
Fractional positions:
Li: 0.250 0.750 0.882
Li: 0.750 0.250 0.118
Mg: 0.250 0.750 0.362
Mg: 0.750 0.250 0.638

Values from the calculation:
Calculated formation energy   -0.031 eV/atom
DOS at the Fermi energy   1.00 states/eV/cell
ρ   1.24 g cm⁻³
Magnetization   0.00 μB/cell



2.
# Al4HgRu

An optimized crystal structure of Al4HgRu (PBE, the Alexandria database).

a b c (Å): 5.160 5.160 5.160
angles (deg): 60.00 60.00 60.00
Fractional positions:
Al: 0.376 0.376 0.376
Al: 0.376 0.376 0.871
Al: 0.376 0.871 0.376
Al: 0.871 0.376 0.376
Hg: 0.000 0.000 0.000
Ru: 0.750 0.750 0.750

Values from the calculation:
Calculated formation energy   0.131 eV/atom
DOS at the Fermi energy   1.40 states/eV/cell
ρ   7.00 g cm⁻³
Magnetization   0.00 μB/cell



3.
# CaTaGe

An optimized crystal structure of CaTaGe (PBE, the Alexandria database).

a b c (Å): 3.494 3.494 10.879
angles (deg): 90.00 90.00 90.00
Fractional positions:
Ca: 0.000 0.000 0.000
Ca: 0.000 0.000 0.353
Ta: 0.000 0.000 0.674
Ta: 0.500 0.500 0.559
Ge: 0.500 0.500 0.182
Ge: 0.500 0.500 0.809

Values from the calculation:
Calculated formation energy   -0.150 eV/atom
DOS at the Fermi energy   3.99 states/eV/cell
ρ   7.34 g cm⁻³
Magnetization   0.00 μB/cell